No. 1
Density functional theory data (PBEsol) for Nb3CoIr after structural relaxation.

Summary:
**Energy relative to the elements**: 746.6 meV per atom
**Symmetry**: Pm-3m, No. 221

a b c (Å): 4.4609 4.4609 4.4609
angles (deg): 90.00 90.00 90.00
Closest atoms and distances in Å follow each position.
Atoms (fractional coordinates):
Nb (0.0000, 0.0000, 0.5000)  2 Co 2.23
Nb (0.0000, 0.5000, 0.0000)  2 Co 2.23
Nb (0.5000, 0.0000, 0.0000)  2 Co 2.23
Co (0.0000, 0.0000, 0.0000)  6 Nb 2.23
Ir (0.5000, 0.5000, 0.5000)  12 Nb 3.15


No. 2
Density functional theory data (PBEsol) for CoNi2Ir after structural relaxation.

Summary:
**Energy relative to the elements**: 71.1 meV per atom
**Symmetry**: Pmmm, No. 47

a b c (Å): 2.5494 3.5682 5.0360
angles (deg): 90.00 90.00 90.00
Closest atoms and distances in Å follow each position.
Atoms (fractional coordinates):
Co (0.0000, 0.0000, 0.0000)  8 Ni 2.51, 2 Ir 2.52, 2 Co 2.55
Ni (0.5000, 0.5000, 0.2411)  4 Ni 2.43-2.61, 4 Co 2.51, 4 Ir 2.55
Ni (0.5000, 0.5000, 0.7589)  4 Ni 2.43-2.61, 4 Co 2.51, 4 Ir 2.55
Ir (0.0000, 0.0000, 0.5000)  2 Co 2.52, 2 Ir 2.55, 8 Ni 2.55


No. 3
Density functional theory data (PBEsol) for Co2NiIr after structural relaxation.

Summary:
**Energy relative to the elements**: 88.7 meV per atom
**Symmetry**: Amm2, No. 38

a b c (Å): 3.9143 4.8126 4.8126
angles (deg): 30.58 90.00 90.00
Closest atoms and distances in Å follow each position.
Atoms (fractional coordinates):
Co (0.0000, 0.0000, 0.0000)  4 Co 2.31-2.54, 3 Ni 2.44-2.54, 4 Ir 2.54
Co (0.5000, 0.1317, 0.1317)  4 Co 2.31-2.54, 3 Ir 2.41-2.56, 4 Ni 2.53
Ni (0.0000, 0.7372, 0.7372)  7 Co 2.44-2.54, 2 Ni 2.54
Ir (0.5000, 0.3916, 0.3916)  7 Co 2.41-2.56, 2 Ir 2.54


No. 4
Density functional theory data (PBEsol) for CoNi2Ir after structural relaxation.

Summary:
**Energy relative to the elements**: 45.3 meV per atom
**Symmetry**: Cmmm, No. 65

a b c (Å): 4.3809 4.3809 2.5551
angles (deg): 90.00 90.00 109.86
Closest atoms and distances in Å follow each position.
Atoms (fractional coordinates):
Co (0.0000, 0.0000, 0.0000)  2 Ir 2.52, 8 Ni 2.54, 2 Co 2.56
Ni (0.0000, 0.5000, 0.5000)  4 Ni 2.52-2.56, 4 Co 2.54, 4 Ir 2.54
Ni (0.5000, 0.0000, 0.5000)  4 Ni 2.52-2.56, 4 Co 2.54, 4 Ir 2.54
Ir (0.5000, 0.5000, 0.0000)  2 Co 2.52, 8 Ni 2.54, 2 Ir 2.56


No. 5
Density functional theory data (PBEsol) for CoNi2Ir after structural relaxation.

Summary:
**Energy relative to the elements**: 89.0 meV per atom
**Symmetry**: R-3m, No. 166

a b c (Å): 8.2802 8.2802 8.2802
angles (deg): 17.86 17.86 17.86
Closest atoms and distances in Å follow each position.
Atoms (fractional coordinates):
Co (0.0000, 0.0000, 0.0000)  6 Ni 2.45, 6 Co 2.57
Ni (0.2538, 0.2538, 0.2538)  3 Co 2.45, 6 Ni 2.57, 3 Ir 2.60
Ni (0.7462, 0.7462, 0.7462)  3 Co 2.45, 6 Ni 2.57, 3 Ir 2.60
Ir (0.5000, 0.5000, 0.5000)  6 Ir 2.57, 6 Ni 2.60


No. 6
Density functional theory data (PBEsol) for Co2NiIr after structural relaxation.

Summary:
**Energy relative to the elements**: 32.8 meV per atom
**Symmetry**: Cmmm, No. 65

a b c (Å): 4.3581 4.3581 2.5534
angles (deg): 90.00 90.00 109.20
Closest atoms and distances in Å follow each position.
Atoms (fractional coordinates):
Co (0.0000, 0.5000, 0.0000)  4 Co 2.52-2.55, 4 Ir 2.53, 4 Ni 2.53
Co (0.5000, 0.0000, 0.0000)  4 Co 2.52-2.55, 4 Ir 2.53, 4 Ni 2.53
Ni (0.0000, 0.0000, 0.5000)  2 Ir 2.52, 8 Co 2.53, 2 Ni 2.55
Ir (0.5000, 0.5000, 0.5000)  2 Ni 2.52, 8 Co 2.53, 2 Ir 2.55


No. 7
Density functional theory data (PBEsol) for CoNi2Ir after structural relaxation.

Summary:
**Energy relative to the elements**: 31.7 meV per atom
**Symmetry**: Cm, No. 8

a b c (Å): 4.3728 4.3728 4.3476
angles (deg): 100.15 100.15 34.08
Closest atoms and distances in Å follow each position.
Atoms (fractional coordinates):
Co (0.0000, 0.0000, 0.0000)  7 Ni 2.49-2.56, 3 Ir 2.52, 2 Co 2.56
Ni (0.4988, 0.4988, 0.4907)  4 Co 2.49-2.56, 5 Ni 2.50-2.56, 3 Ir 2.55
Ni (0.7483, 0.7483, 0.2511)  5 Ni 2.50-2.56, 3 Co 2.51-2.54, 4 Ir 2.52-2.53
Ir (0.2502, 0.2502, 0.7528)  3 Co 2.52, 7 Ni 2.52-2.55, 2 Ir 2.56


No. 8
Density functional theory data (PBEsol) for Co2NiIr after structural relaxation.

Summary:
**Energy relative to the elements**: 39.8 meV per atom
**Symmetry**: P4/mmm, No. 123

a b c (Å): 3.5747 3.5747 3.5723
angles (deg): 90.00 90.00 90.00
Closest atoms and distances in Å follow each position.
Atoms (fractional coordinates):
Co (0.0000, 0.5000, 0.0000)  4 Ni 2.53, 4 Ir 2.53, 4 Co 2.53
Co (0.5000, 0.0000, 0.0000)  4 Ni 2.53, 4 Ir 2.53, 4 Co 2.53
Ni (0.0000, 0.0000, 0.5000)  8 Co 2.53, 4 Ir 2.53
Ir (0.5000, 0.5000, 0.5000)  8 Co 2.53, 4 Ni 2.53


No. 9
Density functional theory data (PBEsol) for CoNi2Ir after structural relaxation.

Summary:
**Energy relative to the elements**: 48.7 meV per atom
**Symmetry**: P4/mmm, No. 123

a b c (Å): 3.5501 3.5501 3.6286
angles (deg): 90.00 90.00 90.00
Closest atoms and distances in Å follow each position.
Atoms (fractional coordinates):
Co (0.0000, 0.0000, 0.0000)  4 Ir 2.51, 8 Ni 2.54
Ni (0.0000, 0.5000, 0.5000)  4 Ni 2.51, 4 Co 2.54, 4 Ir 2.54
Ni (0.5000, 0.0000, 0.5000)  4 Ni 2.51, 4 Co 2.54, 4 Ir 2.54
Ir (0.5000, 0.5000, 0.0000)  4 Co 2.51, 8 Ni 2.54


No. 10
Density functional theory data (PBEsol) for CoNi2Ir after structural relaxation.

Summary:
**Energy relative to the elements**: 80.6 meV per atom
**Symmetry**: R3m, No. 160

a b c (Å): 8.2386 8.2386 8.2386
angles (deg): 17.98 17.98 17.98
Closest atoms and distances in Å follow each position.
Atoms (fractional coordinates):
Co (0.0000, 0.0000, 0.0000)  3 Ni 2.44, 3 Ir 2.57, 6 Co 2.57
Ni (0.2539, 0.2539, 0.2539)  3 Co 2.44, 9 Ni 2.46-2.57
Ni (0.5065, 0.5065, 0.5065)  9 Ni 2.46-2.57, 3 Ir 2.59
Ir (0.7527, 0.7527, 0.7527)  3 Co 2.57, 6 Ir 2.57, 3 Ni 2.59


No. 11
Density functional theory data (PBEsol) for Co2NiIr after structural relaxation.

Summary:
**Energy relative to the elements**: 163.8 meV per atom
**Symmetry**: Immm, No. 71

a b c (Å): 4.8317 4.8317 4.8317
angles (deg): 147.79 129.05 61.57
Closest atoms and distances in Å follow each position.
Atoms (fractional coordinates):
Co (0.2391, 0.2391, 0.0000)  2 Ni 2.39, 6 Co 2.48-2.68, 2 Ir 2.55
Co (0.7609, 0.7609, 0.0000)  2 Ni 2.39, 6 Co 2.48-2.68, 2 Ir 2.55
Ni (0.0000, 0.5000, 0.5000)  4 Co 2.39, 4 Ir 2.47, 2 Ni 2.68
Ir (0.5000, 0.0000, 0.5000)  4 Ni 2.47, 4 Co 2.55, 2 Ir 2.68


No. 12
Density functional theory data (PBEsol) for CoNi2Ir after structural relaxation.

Summary:
**Energy relative to the elements**: 37.4 meV per atom
**Symmetry**: C2/m, No. 12

a b c (Å): 4.3805 4.3805 4.3455
angles (deg): 100.28 100.28 34.01
Closest atoms and distances in Å follow each position.
Atoms (fractional coordinates):
Co (0.0000, 0.0000, 0.0000)  6 Ni 2.50-2.53, 4 Ir 2.52, 2 Co 2.56
Ni (0.2515, 0.2515, 0.7563)  6 Ni 2.48-2.57, 3 Co 2.50-2.53, 3 Ir 2.54
Ni (0.7485, 0.7485, 0.2437)  6 Ni 2.48-2.57, 3 Co 2.50-2.53, 3 Ir 2.54
Ir (0.5000, 0.5000, 0.5000)  4 Co 2.52, 6 Ni 2.54, 2 Ir 2.56


No. 13
Density functional theory data (PBEsol) for Co2NiIr after structural relaxation.

Summary:
**Energy relative to the elements**: 160.5 meV per atom
**Symmetry**: P4mm, No. 99

a b c (Å): 2.8933 2.8933 5.4777
angles (deg): 90.00 90.00 90.00
Closest atoms and distances in Å follow each position.
Atoms (fractional coordinates):
Co (0.0000, 0.0000, 0.0000)  4 Co 2.38, 4 Ni 2.39
Co (0.5000, 0.5000, 0.2220)  4 Co 2.38, 1 Ni 2.45, 4 Ir 2.56
Ni (0.5000, 0.5000, 0.7750)  5 Co 2.39-2.45, 4 Ir 2.53
Ir (0.0000, 0.0000, 0.5031)  4 Ni 2.53, 6 Co 2.56-2.76


No. 14
Density functional theory data (PBEsol) for CoNi2Ir after structural relaxation.

Summary:
**Energy relative to the elements**: 22.1 meV per atom
**Symmetry**: I-4m2, No. 119

a b c (Å): 4.3492 4.3492 4.3492
angles (deg): 131.74 131.74 70.63
Closest atoms and distances in Å follow each position.
Atoms (fractional coordinates):
Co (0.0000, 0.0000, 0.0000)  8 Ni 2.51, 4 Ir 2.51
Ni (0.5000, 0.5000, 0.0000)  4 Ir 2.51, 4 Ni 2.51, 4 Co 2.51
Ni (0.7500, 0.2500, 0.5000)  4 Ni 2.51, 4 Co 2.51, 4 Ir 2.51
Ir (0.2500, 0.7500, 0.5000)  8 Ni 2.51, 4 Co 2.51


No. 15
Density functional theory data (PBEsol) for Co2NiIr after structural relaxation.

Summary:
**Energy relative to the elements**: 38.9 meV per atom
**Symmetry**: Cm, No. 8

a b c (Å): 4.3704 4.3704 4.3558
angles (deg): 100.33 100.33 34.05
Closest atoms and distances in Å follow each position.
Atoms (fractional coordinates):
Co (0.0000, 0.0000, 0.0000)  4 Ni 2.47-2.58, 5 Co 2.48-2.56, 3 Ir 2.52-2.54
Co (0.7455, 0.7455, 0.2419)  5 Co 2.48-2.56, 3 Ni 2.50-2.51, 4 Ir 2.52-2.53
Ni (0.4962, 0.4962, 0.4833)  7 Co 2.47-2.58, 3 Ir 2.53-2.55, 2 Ni 2.56
Ir (0.2497, 0.2497, 0.7450)  7 Co 2.52-2.54, 3 Ni 2.53-2.55, 2 Ir 2.56